A plane-wave DFT calculation with PBEsol was carried out for crystalline KCd4In at its relaxed geometry.

Its formation energy is -0.06 eV/f.u. As for the crystal system: cubic. For the size of the total moment, the calculation gives 0.00 μB per formula unit.

It has space group F-43m (No. 216), with a = 8.4339 Å, b = 8.4339 Å, c = 8.4339 Å, α = 90.00°, β = 90.00° and γ = 90.00°. The asymmetric unit holds K at (0.0000, 0.0000, 0.0000), Cd at (0.1248, 0.1248, 0.3752) and In at (0.2500, 0.2500, 0.7500).

A plane-wave DFT calculation with PBEsol was carried out for crystalline KCdIn2 at its relaxed geometry.

Its formation energy is -0.10 eV/f.u. As for the crystal system: orthorhombic. For the size of the total moment, the calculation gives 0.00 μB per formula unit.

It has space group Pmm2 (No. 25), with a = 3.3177 Å, b = 4.3344 Å, c = 8.0434 Å, α = 90.00°, β = 90.00° and γ = 90.00°. The asymmetric unit holds K at (0.0000, 0.0000, 0.0000), Cd at (0.5000, 0.5000, 0.2999), In at (0.0000, 0.0000, 0.4894) and In at (0.5000, 0.5000, 0.6949).